# Pr4Cd2In5

A geometry-optimized Pr4Cd2In5 structure (GGA-PBE, the Alexandria database).

a b c (Å): 8.125 3.641 10.506
angles (deg): 90.00 94.44 90.00
Element x y z (fractional)
1 Pr 0.170 0.000 0.389
2 Pr 0.282 0.000 0.941
3 Pr 0.718 0.000 0.059
4 Pr 0.830 0.000 0.611
5 Cd 0.059 0.500 0.134
6 Cd 0.941 0.500 0.866
7 In 0.192 0.500 0.667
8 In 0.434 0.500 0.205
9 In 0.500 0.500 0.500
10 In 0.566 0.500 0.795
11 In 0.808 0.500 0.333

Computed properties:
- calculated total energy (eV/atom) = -3.5352
- spin magnetization (μB/atom) = 0.000